# BaAgAs

A geometry-optimized BaAgAs structure (GGA-PBE, the Alexandria database).

The structure belongs to space group C2 (No. 5); the cell edges are 6.5963, 6.5943 and 8.6783 Å and the angles 90.00°, 112.28° and 90.00°. The distinct sites, in fractional coordinates, are Ba at (0.0000, 0.0000, 0.0000), Ba at (0.0000, 0.2498, 0.5000), Ag at (0.0851, 0.7497, 0.6712) and As at (0.0829, 0.4996, 0.1648).

For the calculated formation energy, the calculation gives -658 meV per atom. The calculation puts the density at 6.087 g cm⁻³. For the total energy, the calculation gives -3.80 eV/atom.